Density functional theory data (PBE) for Pm6Er8Mg after structural relaxation.

formation enthalpy at 0 K = 0.13 eV per atom

Cell: 9.4548 9.4548 6.2539 Å, 90.00 90.00 120.00°
Space group P-3 (No. 147)
One atom of each set of equivalent atoms:
Pm 0.0891 0.6380 0.3115 x6
Er 0.0385 0.7737 0.8112 x6
Er 0.3333 0.6667 0.8240 x2
Mg 0.0000 0.0000 0.5000 x1


Density functional theory data (PBE) for PmEr2Mg9 after structural relaxation.

formation enthalpy at 0 K = -0.04 eV per atom

Cell: 6.0349 6.0349 29.1582 Å, 90.00 90.00 120.00°
Space group R-3m (No. 166, hexagonal axes)
One atom of each set of equivalent atoms:
Pm 0.0000 0.0000 0.0000 x3
Er 0.0000 0.0000 0.1442 x6
Mg 0.0000 0.0000 0.3341 x6
Mg 0.0000 0.0000 0.5000 x3
Mg 0.0053 0.5026 0.9152 x18


| no. | Fermi-level density of states (states/eV per cell) | total DFT energy (no corrections) (eV/atom) |
| --- | --- | --- |
| 1 | 17.889 | -4.31 |
| 2 | 32.331 | -2.39 |